VASP calculation (GGA-PBE) on an optimized crystal structure of MgGe2BiBr.

Unit cell a=5.331 b=5.331 c=5.090 alpha=90.00 beta=90.00 gamma=90.00
Positions (direct):
1 Mg 0.000 0.000 0.000
2 Ge 0.000 0.500 0.500
3 Ge 0.500 0.000 0.500
4 Bi 0.500 0.500 0.000
5 Br 0.000 0.000 0.500

Results
- space-group type = P4/mmm (123)

=====

VASP calculation (GGA-PBE) on an optimized crystal structure of NaGe2BiBr.

Unit cell a=5.329 b=5.329 c=5.760 alpha=90.00 beta=90.00 gamma=90.00
Positions (direct):
1 Na 0.000 0.000 0.000
2 Ge 0.000 0.500 0.500
3 Ge 0.500 0.000 0.500
4 Bi 0.500 0.500 0.000
5 Br 0.500 0.500 0.500

Results
- space-group type = P4/mmm (123)

=====

Raw formation energy
In order: 0.527, 0.626
Unit: eV/atom